Entry 1:
Computed, not measured: a geometry-optimized PaV2Si structure at the PBE-GGA level of DFT.

Total energy = -8.46 eV/atom
Excess energy over the best structure of this formula in the dataset = 49 meV/atom
Formation energy from raw total energies = -0.18 eV per atom
Volume = 64 Å³ per cell
Symmetry = P4/mmm
Mass density = 9.37 Mg/m³

Lattice parameters (Å, degrees): 3.4737 4.2907 4.2907 90.00 90.00 90.00
With the nearest neighbours (Å) after each atom.
Positions (direct):
V 0.0000 0.5000 0.0000  4 Pa 2.76, 4 Si 2.76, 4 V 3.03
V 0.0000 0.0000 0.5000  4 Pa 2.76, 4 Si 2.76, 4 V 3.03
Si 0.5000 0.0000 0.0000  8 V 2.76, 4 Pa 3.03
Pa 0.5000 0.5000 0.5000  8 V 2.76, 4 Si 3.03

---

Entry 2:
Computed, not measured: a geometry-optimized PaV2Si2 structure at the PBE-GGA level of DFT.

Total energy = -8.20 eV/atom
Excess energy over the best structure of this formula in the dataset = 0 meV/atom
Formation energy from raw total energies = -0.49 eV per atom
Volume = 167 Å³ per cell
Symmetry = Cmc2_1
Mass density = 7.73 Mg/m³

Lattice parameters (Å, degrees): 3.6206 6.1919 7.7973 90.00 90.00 107.00
With the nearest neighbours (Å) after each atom.
Positions (direct):
V 0.8798 0.7596 0.7210  4 Si 2.45-2.60, 2 V 2.68
V 0.3053 0.6106 0.9474  5 Si 2.42-2.55, 2 V 2.68
V 0.6947 0.3894 0.4474  5 Si 2.42-2.55, 2 V 2.68
V 0.1202 0.2404 0.2210  4 Si 2.45-2.60, 2 V 2.68
Pa 0.4092 0.8184 0.3471  7 Si 2.92-3.03, 4 V 3.22-3.24
Pa 0.5908 0.1816 0.8471  7 Si 2.92-3.03, 4 V 3.22-3.24
Si 0.9442 0.8884 0.0398  1 Si 2.44, 4 V 2.52-2.60
Si 0.0558 0.1116 0.5398  1 Si 2.44, 4 V 2.52-2.60
Si 0.7515 0.5030 0.1492  5 V 2.42-2.48, 1 Si 2.44
Si 0.2485 0.4970 0.6492  5 V 2.42-2.48, 1 Si 2.44